3
Lattice="3.8018 0.0000 0.0000 1.9009 3.2924 0.0000 1.9009 1.0975 3.1041" Properties=species:S:1:pos:R:3 comment="GGA-PBE FeCoSi, relaxed" volume_a3_per_atom=13.0 e_form_raw_ev_per_fu=-0.6 pbc="T T T"
Co 5.7027 3.2924 2.3281
Fe 0.0000 0.0000 0.0000
Si 3.8018 2.1950 1.5521